A relaxed Cd2CuTe crystal. Source: Alexandria via LeMat-Bulk, functional PBE.

The density of states at the Fermi level comes out at 0.77 states/eV/f.u. As for the total energy: -8.675 eV/cell. The crystal system is monoclinic.

It has space group P2/m (No. 10), with a = 4.116 Å, b = 4.054 Å, c = 5.673 Å, α = 90.00°, β = 103.51° and γ = 90.00°. The distinct sites, in fractional coordinates, are Cd at (0.081, 0.000, 0.271), Cu at (0.500, 0.500, 0.500) and Te at (0.500, 0.500, 0.000).